# 1
# K8TlHg2 PBE relaxed
data_K8TlHg2
_chemical_formula_sum 'K16 Tl2 Hg4'
_cell_length_a 21.995
_cell_length_b 6.124
_cell_length_c 8.709
_cell_angle_alpha 90.00
_cell_angle_beta 109.38
_cell_angle_gamma 90.00
_symmetry_space_group_name_H-M 'C 1 2/m 1'
_symmetry_Int_Tables_number 12
loop_
_symmetry_equiv_pos_as_xyz
'x,y,z'
'-x,-y,-z'
'-x,y,-z'
'x,-y,z'
'x+1/2,y+1/2,z'
'-x+1/2,-y+1/2,-z'
'-x+1/2,y+1/2,-z'
'x+1/2,-y+1/2,z'
loop_
_atom_site_label
_atom_site_type_symbol
_atom_site_fract_x
_atom_site_fract_y
_atom_site_fract_z
K1 K 0.030 0.000 0.292
K2 K 0.096 0.500 0.953
K3 K 0.168 0.500 0.462
K4 K 0.199 0.000 0.803
Tl1 Tl 0.000 0.500 0.500
Hg1 Hg 0.180 0.000 0.202
# * calculated density: 2.76 g/cm³
# * DFT total energy: -1.162 eV per atom
# * DFT formation energy: -1.03 eV per formula unit



# 2
# KTl5Hg PBE relaxed
data_KTl5Hg
_chemical_formula_sum 'K1 Tl5 Hg1'
_cell_length_a 4.762
_cell_length_b 4.762
_cell_length_c 10.575
_cell_angle_alpha 90.00
_cell_angle_beta 90.00
_cell_angle_gamma 90.00
_symmetry_space_group_name_H-M 'P 4/m m m'
_symmetry_Int_Tables_number 123
_symmetry_space_group_name_Hall '-P 4 2'
loop_
_atom_site_label
_atom_site_type_symbol
_atom_site_fract_x
_atom_site_fract_y
_atom_site_fract_z
K1 K 0.000 0.000 0.000
Tl1 Tl 0.000 0.000 0.500
Tl2 Tl 0.000 0.500 0.272
Hg1 Hg 0.500 0.500 0.500
# * calculated density: 8.74 g/cm³
# * DFT total energy: -1.904 eV per atom
# * DFT formation energy: -0.10 eV per formula unit



# 3
# K2Tl5Hg PBE relaxed
data_K2Tl5Hg
_chemical_formula_sum 'K2 Tl5 Hg1'
_cell_length_a 7.471
_cell_length_b 7.471
_cell_length_c 5.742
_cell_angle_alpha 90.00
_cell_angle_beta 90.00
_cell_angle_gamma 90.00
_symmetry_space_group_name_H-M 'P 4/m m m'
_symmetry_Int_Tables_number 123
_symmetry_space_group_name_Hall '-P 4 2'
loop_
_atom_site_label
_atom_site_type_symbol
_atom_site_fract_x
_atom_site_fract_y
_atom_site_fract_z
K1 K 0.000 0.500 0.000
Tl1 Tl 0.000 0.000 0.000
Tl2 Tl 0.291 0.291 0.500
Hg1 Hg 0.000 0.000 0.500
# * calculated density: 6.74 g/cm³
# * DFT total energy: -1.743 eV per atom
# * DFT formation energy: 0.39 eV per formula unit
# * polymorph energy (0 for the lowest one): 149 meV/atom



# 4
# KTl4Hg4 PBE relaxed
data_KTl4Hg4
_chemical_formula_sum 'K2 Tl8 Hg8'
_cell_length_a 11.394
_cell_length_b 11.394
_cell_length_c 4.185
_cell_angle_alpha 90.00
_cell_angle_beta 90.00
_cell_angle_gamma 90.00
_symmetry_space_group_name_H-M 'I 4/m m m'
_symmetry_Int_Tables_number 139
_symmetry_space_group_name_Hall '-I 4 2'
loop_
_atom_site_label
_atom_site_type_symbol
_atom_site_fract_x
_atom_site_fract_y
_atom_site_fract_z
K1 K 0.000 0.000 0.000
Tl1 Tl 0.000 0.329 0.000
Hg1 Hg 0.178 0.178 0.500
# * calculated density: 10.14 g/cm³
# * DFT total energy: -1.392 eV per atom
# * DFT formation energy: -0.76 eV per formula unit
# * polymorph energy (0 for the lowest one): 0 meV/atom



# 5
# KTl2Hg PBE relaxed
data_KTl2Hg
_chemical_formula_sum 'K3 Tl6 Hg3'
_cell_length_a 3.8344
_cell_length_b 3.8344
_cell_length_c 31.0730
_cell_angle_alpha 90.00
_cell_angle_beta 90.00
_cell_angle_gamma 120.00
_symmetry_space_group_name_H-M 'R -3 m'
_symmetry_Int_Tables_number 166
_symmetry_space_group_name_Hall '-R 3 2"'
loop_
_atom_site_label
_atom_site_type_symbol
_atom_site_fract_x
_atom_site_fract_y
_atom_site_fract_z
K1 K 0.0000 0.0000 0.0000
Tl1 Tl 0.0000 0.0000 0.2386
Hg1 Hg 0.0000 0.0000 0.5000
# * calculated density: 8.16 g/cm³
# * DFT total energy: -1.522 eV per atom
# * DFT formation energy: 0.04 eV per formula unit
# * polymorph energy (0 for the lowest one): 130 meV/atom



# 6
# KTl2Hg PBE relaxed
data_KTl2Hg
_chemical_formula_sum 'K1 Tl2 Hg1'
_cell_length_a 3.837
_cell_length_b 3.837
_cell_length_c 8.861
_cell_angle_alpha 90.00
_cell_angle_beta 90.00
_cell_angle_gamma 90.00
_symmetry_space_group_name_H-M 'P 4 m m'
_symmetry_Int_Tables_number 99
loop_
_symmetry_equiv_pos_as_xyz
'x,y,z'
'-y,x,z'
'-x,-y,z'
'y,-x,z'
'-x,y,z'
'y,x,z'
'x,-y,z'
'-y,-x,z'
loop_
_atom_site_label
_atom_site_type_symbol
_atom_site_fract_x
_atom_site_fract_y
_atom_site_fract_z
K1 K 0.000 0.000 0.000
Tl1 Tl 0.000 0.000 0.521
Tl2 Tl 0.500 0.500 0.296
Hg1 Hg 0.500 0.500 0.740
# * calculated density: 8.25 g/cm³
# * DFT total energy: -1.643 eV per atom
# * DFT formation energy: -0.44 eV per formula unit
# * polymorph energy (0 for the lowest one): 9 meV/atom



# 7
# K6TlHg PBE relaxed
data_K6TlHg
_chemical_formula_sum 'K12 Tl2 Hg2'
_cell_length_a 4.715
_cell_length_b 13.196
_cell_length_c 14.588
_cell_angle_alpha 90.00
_cell_angle_beta 90.00
_cell_angle_gamma 90.00
_symmetry_space_group_name_H-M 'A m m 2'
_symmetry_Int_Tables_number 38
loop_
_symmetry_equiv_pos_as_xyz
'x,y,z'
'-x,-y,z'
'-x,y,z'
'x,-y,z'
'x,y+1/2,z+1/2'
'-x,-y+1/2,z+1/2'
'-x,y+1/2,z+1/2'
'x,-y+1/2,z+1/2'
loop_
_atom_site_label
_atom_site_type_symbol
_atom_site_fract_x
_atom_site_fract_y
_atom_site_fract_z
K1 K 0.000 0.000 0.000
K2 K 0.000 0.169 0.725
K3 K 0.500 0.000 0.267
K4 K 0.500 0.220 0.475
Tl1 Tl 0.000 0.000 0.480
Hg1 Hg 0.500 0.000 0.621
# * calculated density: 2.34 g/cm³
# * DFT total energy: -1.216 eV per atom
# * DFT formation energy: -0.47 eV per formula unit



# 8
# KTl4Hg4 PBE relaxed
data_KTl4Hg4
_chemical_formula_sum 'K2 Tl8 Hg8'
_cell_length_a 7.484
_cell_length_b 7.484
_cell_length_c 10.997
_cell_angle_alpha 90.00
_cell_angle_beta 90.00
_cell_angle_gamma 90.00
_symmetry_space_group_name_H-M 'P 42/n m c'
_symmetry_Int_Tables_number 137
loop_
_symmetry_equiv_pos_as_xyz
'x,y,z'
'-x,-y,-z'
'-y+1/2,x,z+1/2'
'y+1/2,-x,-z+1/2'
'-x+1/2,-y+1/2,z'
'x+1/2,y+1/2,-z'
'y,-x+1/2,z+1/2'
'-y,x+1/2,-z+1/2'
'x+1/2,-y,-z'
'-x+1/2,y,z'
'-y,-x,-z+1/2'
'y,x,z+1/2'
'-x,y+1/2,-z'
'x,-y+1/2,z'
'y+1/2,x+1/2,-z+1/2'
'-y+1/2,-x+1/2,z+1/2'
loop_
_atom_site_label
_atom_site_type_symbol
_atom_site_fract_x
_atom_site_fract_y
_atom_site_fract_z
K1 K 0.250 0.750 0.250
Tl1 Tl 0.023 0.250 0.120
Hg1 Hg 0.050 0.250 0.402
# * calculated density: 8.94 g/cm³
# * DFT total energy: -1.358 eV per atom
# * DFT formation energy: -0.45 eV per formula unit
# * polymorph energy (0 for the lowest one): 35 meV/atom



# 9
# K3Tl8Hg3 PBE relaxed
data_K3Tl8Hg3
_chemical_formula_sum 'K6 Tl16 Hg6'
_cell_length_a 5.557
_cell_length_b 11.481
_cell_length_c 14.266
_cell_angle_alpha 90.00
_cell_angle_beta 90.00
_cell_angle_gamma 90.00
_symmetry_space_group_name_H-M 'I m m m'
_symmetry_Int_Tables_number 71
_symmetry_space_group_name_Hall '-I 2 2'
loop_
_atom_site_label
_atom_site_type_symbol
_atom_site_fract_x
_atom_site_fract_y
_atom_site_fract_z
K1 K 0.000 0.000 0.000
K2 K 0.000 0.000 0.284
Tl1 Tl 0.000 0.283 0.143
Tl2 Tl 0.000 0.359 0.368
Hg1 Hg 0.000 0.139 0.500
Hg2 Hg 0.000 0.500 0.000
# * calculated density: 8.59 g/cm³
# * DFT total energy: -1.729 eV per atom
# * DFT formation energy: -1.08 eV per formula unit



# 10
# KTl2Hg6 PBE relaxed
data_KTl2Hg6
_chemical_formula_sum 'K2 Tl4 Hg12'
_cell_length_a 15.822
_cell_length_b 8.221
_cell_length_c 4.558
_cell_angle_alpha 90.00
_cell_angle_beta 105.93
_cell_angle_gamma 90.00
_symmetry_space_group_name_H-M 'C 1 2/m 1'
_symmetry_Int_Tables_number 12
loop_
_symmetry_equiv_pos_as_xyz
'x,y,z'
'-x,-y,-z'
'-x,y,-z'
'x,-y,z'
'x+1/2,y+1/2,z'
'-x+1/2,-y+1/2,-z'
'-x+1/2,y+1/2,-z'
'x+1/2,-y+1/2,z'
loop_
_atom_site_label
_atom_site_type_symbol
_atom_site_fract_x
_atom_site_fract_y
_atom_site_fract_z
K1 K 0.000 0.000 0.000
Tl1 Tl 0.125 0.500 0.122
Hg1 Hg 0.000 0.313 0.500
Hg2 Hg 0.186 0.191 0.687
# * calculated density: 9.62 g/cm³
# * DFT total energy: -0.913 eV per atom
# * DFT formation energy: -0.58 eV per formula unit
# * polymorph energy (0 for the lowest one): 21 meV/atom



# 11
# K2TlHg16 PBE relaxed
data_K2TlHg16
_chemical_formula_sum 'K6 Tl3 Hg48'
_cell_length_a 10.3111
_cell_length_b 10.3111
_cell_length_c 18.4598
_cell_angle_alpha 90.00
_cell_angle_beta 90.00
_cell_angle_gamma 120.00
_symmetry_space_group_name_H-M 'R 3 m'
_symmetry_Int_Tables_number 160
_symmetry_space_group_name_Hall 'R 3 -2"'
loop_
_atom_site_label
_atom_site_type_symbol
_atom_site_fract_x
_atom_site_fract_y
_atom_site_fract_z
K1 K 0.0000 0.0000 0.0000
K2 K 0.0000 0.0000 0.3783
Tl1 Tl 0.0000 0.0000 0.6005
Hg1 Hg 0.0000 0.0000 0.7884
Hg2 Hg 0.0003 0.2981 0.6917
Hg3 Hg 0.0289 0.5144 0.8175
Hg4 Hg 0.1697 0.3394 0.5238
Hg5 Hg 0.1868 0.3736 0.8981
# * calculated density: 10.23 g/cm³
# * DFT total energy: -0.600 eV per atom
# * DFT formation energy: -2.01 eV per formula unit